6
Lattice="4.277 0.000 0.000 2.137 5.270 0.000 2.125 -0.803 6.853" Properties=species:S:1:pos:R:3 comment="BaOsRu, optimized geometry, DFT GGA-PBE" formation_energy_ev_per_atom=0.404 relative_energy_ev_per_atom=0.070 magnetic_moment_mub_per_atom=0.00 pbc="T T T"
Ba 2.139 0.847 2.318
Ba 6.401 3.620 4.535
Os 2.138 4.058 0.288
Os 6.401 0.409 6.565
Ru 4.263 1.270 5.719
Ru 4.276 3.197 1.134


10
Lattice="6.440 0.000 0.000 0.000 6.440 0.000 0.000 0.000 3.084" Properties=species:S:1:pos:R:3 comment="V2CuP2, optimized geometry, DFT GGA-PBE" formation_energy_ev_per_atom=-0.471 magnetic_moment_mub_per_atom=0.00 pbc="T T T"
V 0.948 2.272 0.000
V 2.272 5.492 0.000
V 4.168 0.948 0.000
V 5.492 4.168 0.000
Cu 0.000 0.000 1.542
Cu 3.220 3.220 1.542
P 0.940 4.160 1.542
P 2.280 0.940 1.542
P 4.160 5.500 1.542
P 5.500 2.280 1.542


5
Lattice="5.164 0.000 0.000 0.000 5.164 0.000 0.000 0.000 5.536" Properties=species:S:1:pos:R:3 comment="KY2TcSb, optimized geometry, DFT GGA-PBE" e_form_raw_ev_per_atom=1.729 magnetic_moment_mub_per_atom=0.58 pbc="T T T"
K 0.000 0.000 0.000
Y 0.000 2.582 0.000
Y 2.582 0.000 0.000
Tc 2.582 2.582 2.768
Sb 0.000 0.000 2.768


16
Lattice="7.220 0.000 0.000 0.000 7.220 0.000 0.000 0.000 7.220" Properties=species:S:1:pos:R:3 comment="LiPmGaSn, optimized geometry, DFT GGA-PBE" formation_energy_ev_per_atom=-0.434 magnetic_moment_mub_per_atom=0.00 pbc="T T T"
Li 0.000 0.000 0.000
Li 0.000 3.610 3.610
Li 3.610 0.000 3.610
Li 3.610 3.610 0.000
Pm 0.000 0.000 3.610
Pm 0.000 3.610 0.000
Pm 3.610 0.000 0.000
Pm 3.610 3.610 3.610
Ga 1.805 1.805 5.415
Ga 1.805 5.415 1.805
Ga 5.415 1.805 1.805
Ga 5.415 5.415 5.415
Sn 1.805 1.805 1.805
Sn 1.805 5.415 5.415
Sn 5.415 1.805 5.415
Sn 5.415 5.415 1.805


8
Lattice="2.856 0.000 0.000 0.000 4.903 0.000 0.000 0.000 8.781" Properties=species:S:1:pos:R:3 comment="AlAsIr2, optimized geometry, DFT GGA-PBE" formation_energy_ev_per_atom=-0.095 relative_energy_ev_per_atom=0.228 magnetic_moment_mub_per_atom=0.00 pbc="T T T"
Al 0.000 0.000 0.000
Al 1.428 2.451 0.000
As 0.000 0.000 4.390
As 1.428 2.451 4.390
Ir 0.000 2.451 2.022
Ir 0.000 2.451 6.759
Ir 1.428 0.000 2.022
Ir 1.428 0.000 6.759


10
Lattice="10.186 0.000 0.000 0.000 10.186 0.000 0.000 0.000 3.180" Properties=species:S:1:pos:R:3 comment="Rb2Fe2Pb, optimized geometry, DFT GGA-PBE" formation_energy_ev_per_atom=1.347 relative_energy_ev_per_atom=0.550 magnetic_moment_mub_per_atom=1.28 pbc="T T T"
Rb 1.351 3.742 0.000
Rb 3.742 8.835 0.000
Rb 6.443 1.351 0.000
Rb 8.835 6.443 0.000
Fe 1.736 6.829 1.590
Fe 3.356 1.736 1.590
Fe 6.829 8.449 1.590
Fe 8.449 3.356 1.590
Pb 0.000 0.000 0.000
Pb 5.093 5.093 0.000


5
Lattice="4.856 0.000 0.000 0.000 4.856 0.000 0.000 0.000 4.856" Properties=species:S:1:pos:R:3 comment="AgPbW3, optimized geometry, DFT GGA-PBE" formation_energy_ev_per_atom=2.710 relative_energy_ev_per_atom=0.000 magnetic_moment_mub_per_atom=0.00 pbc="T T T"
Ag 0.000 0.000 0.000
Pb 2.428 2.428 2.428
W 0.000 0.000 2.428
W 0.000 2.428 0.000
W 2.428 0.000 0.000


80
Lattice="-9.565 9.565 9.565 9.565 -9.565 9.565 9.565 9.565 -9.565" Properties=species:S:1:pos:R:3 comment="Ac12Pu3Ag5, optimized geometry, DFT GGA-PBE" formation_energy_ev_per_atom=0.421 magnetic_moment_mub_per_atom=1.27 pbc="T T T"
Ac 2.841 -0.473 1.379
Ac 11.506 6.162 -5.255
Ac 9.092 -1.379 2.841
Ac 14.820 -1.941 3.403
Ac 12.405 0.473 1.379
Ac 11.506 -3.403 5.255
Ac 1.379 2.841 -0.473
Ac 12.968 4.310 -1.941
Ac 6.162 5.255 -1.941
Ac 8.185 2.841 0.473
Ac -0.473 1.379 2.841
Ac 5.255 -1.941 6.162
Ac 9.092 8.185 -2.841
Ac 5.255 1.941 3.403
Ac 8.185 -2.841 9.092
Ac 6.162 -5.255 11.506
Ac 3.403 5.255 1.941
Ac 10.944 6.724 0.473
Ac 2.841 9.092 -1.379
Ac 11.506 3.403 4.310
Ac 5.255 11.506 -3.403
Ac 9.092 1.379 6.724
Ac 1.941 3.403 5.255
Ac 2.841 0.473 8.185
Ac 6.724 9.092 1.379
Ac 7.623 6.162 4.310
Ac 0.473 8.185 2.841
Ac 4.310 -1.941 12.968
Ac -1.941 6.162 5.255
Ac 6.724 0.473 10.944
Ac -1.379 2.841 9.092
Ac 6.162 4.310 7.623
Ac 3.403 14.820 -1.941
Ac 1.379 12.405 0.473
Ac 4.310 7.623 6.162
Ac 0.473 1.379 12.405
Ac 4.310 11.506 3.403
Ac 10.037 8.185 6.724
Ac 1.379 6.724 9.092
Ac 3.403 4.310 11.506
Ac -3.403 5.255 11.506
Ac 8.185 6.724 10.037
Ac -1.941 12.968 4.310
Ac -2.841 9.092 8.185
Ac -5.255 11.506 6.162
Ac 0.473 10.944 6.724
Ac -1.941 3.403 14.820
Ac 6.724 10.037 8.185
Pu 4.782 2.391 0.000
Pu 9.565 4.782 -2.391
Pu 2.391 0.000 4.782
Pu 11.956 0.000 4.782
Pu 0.000 4.782 2.391
Pu 4.782 -2.391 9.565
Pu 4.782 11.956 0.000
Pu 9.565 4.782 7.173
Pu -2.391 9.565 4.782
Pu 7.173 9.565 4.782
Pu 0.000 4.782 11.956
Pu 4.782 7.173 9.565
Ag 0.000 0.000 0.000
Ag 4.782 4.782 -4.782
Ag 4.782 -4.782 4.782
Ag 9.565 0.000 0.000
Ag 14.347 2.391 0.000
Ag 9.565 -4.782 7.173
Ag 7.173 9.565 -4.782
Ag 7.173 0.000 4.782
Ag 4.782 7.173 0.000
Ag 9.565 4.782 2.391
Ag -4.782 4.782 4.782
Ag 0.000 9.565 0.000
Ag 0.000 0.000 9.565
Ag 4.782 4.782 4.782
Ag 0.000 4.782 7.173
Ag 4.782 2.391 9.565
Ag 2.391 9.565 4.782
Ag 2.391 0.000 14.347
Ag 0.000 14.347 2.391
Ag -4.782 7.173 9.565